Entry 1:
Entry from Alexandria via LeMat-Bulk: an optimized crystal structure of Cd3CoOs (PBE).

**Excess energy over the best structure of this formula in the dataset**: 0.0 meV/atom

Structure (CIF):
```
data_Cd3CoOs
_symmetry_space_group_name_H-M 'P m -3 m'
_symmetry_Int_Tables_number 221
_symmetry_space_group_name_Hall '-P 4 2 3'
_cell_length_a 5.1561
_cell_length_b 5.1561
_cell_length_c 5.1561
_cell_angle_alpha 90.00
_cell_angle_beta 90.00
_cell_angle_gamma 90.00
loop_
_atom_site_label
_atom_site_fract_x
_atom_site_fract_y
_atom_site_fract_z
Cd1 0.0000 0.0000 0.5000
Co1 0.5000 0.5000 0.5000
Os1 0.0000 0.0000 0.0000
```

Entry 2:
Entry from Alexandria via LeMat-Bulk: an optimized crystal structure of Ce3Mg7Pt4 (PBE).

Structure (CIF):
```
data_Ce3Mg7Pt4
_symmetry_space_group_name_H-M 'C 1 2/m 1'
_symmetry_Int_Tables_number 12
_cell_length_a 16.4002
_cell_length_b 4.1794
_cell_length_c 10.6481
_cell_angle_alpha 90.00
_cell_angle_beta 123.47
_cell_angle_gamma 90.00
loop_
_symmetry_equiv_pos_as_xyz
'x,y,z'
'-x,-y,-z'
'-x,y,-z'
'x,-y,z'
'x+1/2,y+1/2,z'
'-x+1/2,-y+1/2,-z'
'-x+1/2,y+1/2,-z'
'x+1/2,-y+1/2,z'
loop_
_atom_site_label
_atom_site_fract_x
_atom_site_fract_y
_atom_site_fract_z
Ce1 0.0000 0.0000 0.0000
Ce2 0.1994 0.5000 0.7162
Mg1 0.0000 0.0000 0.5000
Mg2 0.0133 0.5000 0.2980
Mg3 0.1698 0.0000 0.4346
Mg4 0.1778 0.5000 0.0086
Pt1 0.1147 0.0000 0.8142
Pt2 0.1602 0.5000 0.2515
```

Entry 3:
Entry from Alexandria via LeMat-Bulk: an optimized crystal structure of ZrC8 (PBE).

Structure (CIF):
```
data_ZrC8
_symmetry_space_group_name_H-M 'I 4/m m m'
_symmetry_Int_Tables_number 139
_symmetry_space_group_name_Hall '-I 4 2'
_cell_length_a 11.3712
_cell_length_b 11.3712
_cell_length_c 2.5231
_cell_angle_alpha 90.00
_cell_angle_beta 90.00
_cell_angle_gamma 90.00
loop_
_atom_site_label
_atom_site_fract_x
_atom_site_fract_y
_atom_site_fract_z
Zr1 0.0000 0.0000 0.0000
C1 0.0000 0.4218 0.0000
C2 0.2500 0.2500 0.0000
```

Short version: E_tot = -2.8018 -4.4642 -6.8223 eV per atom, in the order given.
Short version: magnetic moment = 2.7 5.1 2.8 μB per cell, in the order given.
Short version: calculated formation energy = 1.414 -0.669 2.326 eV per atom, in the order given.